Compound: BaZn2BiAu5
Source: Alexandria via LeMat-Bulk
Functional: PBE-GGA
Structure: relaxed

Calculated values
Total magnetic moment (Bohr magnetons per cell): 0.00
Energy of formation (eV per atom): -0.2107
Calculated total energy (eV/atom): -2.96

a = 5.1317 Å, b = 5.1317 Å, c = 7.9614 Å
α = 90.00°, β = 90.00°, γ = 90.00°
Last column: nearest neighbours and their distance in Å.
Atoms (fractional coordinates):
Ba 0.0000 0.0000 0.0000  12 Au 3.46-3.63
Zn 0.5000 0.5000 0.3281  5 Au 2.58-2.61, 1 Zn 2.74
Zn 0.5000 0.5000 0.6719  5 Au 2.58-2.61, 1 Zn 2.74
Bi 0.0000 0.0000 0.5000  8 Au 3.06
Au 0.0000 0.5000 0.2912  2 Zn 2.58
Au 0.0000 0.5000 0.7088  2 Zn 2.58
Au 0.5000 0.0000 0.2912  2 Zn 2.58
Au 0.5000 0.0000 0.7088  2 Zn 2.58
Au 0.5000 0.5000 0.0000  2 Zn 2.61


Compound: Ba2Zn4BiAu3
Source: Alexandria via LeMat-Bulk
Functional: PBE-GGA
Structure: relaxed

Calculated values
Total magnetic moment (Bohr magnetons per cell): 0.00
Energy of formation (eV per atom): -0.4532
Calculated total energy (eV/atom): -2.72

a = 4.7278 Å, b = 4.7278 Å, c = 11.0318 Å
α = 90.00°, β = 90.00°, γ = 90.00°
Last column: nearest neighbours and their distance in Å.
Atoms (fractional coordinates):
Ba 0.0000 0.5000 0.2399  8 Zn 3.55-3.57, 7 Au 3.61-3.93, 2 Bi 3.72
Ba 0.5000 0.0000 0.7601  8 Zn 3.55-3.57, 7 Au 3.61-3.93, 2 Bi 3.72
Zn 0.0000 0.0000 0.0000  4 Au 2.69
Zn 0.0000 0.5000 0.6454  3 Au 2.63-2.86, 2 Bi 2.86
Zn 0.5000 0.0000 0.3546  3 Au 2.63-2.86, 2 Bi 2.86
Zn 0.5000 0.5000 0.0000  4 Au 2.69
Bi 0.0000 0.0000 0.5000  4 Zn 2.86
Au 0.0000 0.5000 0.8839  5 Zn 2.63-2.69
Au 0.5000 0.0000 0.1161  5 Zn 2.63-2.69
Au 0.5000 0.5000 0.5000  4 Zn 2.86


Compound: Ba2ZnBi4Au3
Source: Alexandria via LeMat-Bulk
Functional: PBE-GGA
Structure: relaxed

Calculated values
Total magnetic moment (Bohr magnetons per cell): 0.00
Energy of formation (eV per atom): -0.4836
Calculated total energy (eV/atom): -3.53

a = 5.0565 Å, b = 5.0565 Å, c = 11.7077 Å
α = 90.00°, β = 90.00°, γ = 90.00°
Last column: nearest neighbours and their distance in Å.
Atoms (fractional coordinates):
Ba 0.0000 0.5000 0.2409  2 Zn 3.79, 6 Au 3.79-3.86, 8 Bi 3.82-3.95
Ba 0.5000 0.0000 0.7591  2 Zn 3.79, 6 Au 3.79-3.86, 8 Bi 3.82-3.95
Zn 0.5000 0.5000 0.0000  4 Bi 2.92
Bi 0.0000 0.0000 0.5000  4 Au 2.98
Bi 0.0000 0.5000 0.8747  3 Au 2.82-2.92, 2 Zn 2.92
Bi 0.5000 0.0000 0.1253  3 Au 2.82-2.92, 2 Zn 2.92
Bi 0.5000 0.5000 0.5000  4 Au 2.98
Au 0.0000 0.0000 0.0000  4 Bi 2.92
Au 0.0000 0.5000 0.6341  5 Bi 2.82-2.98
Au 0.5000 0.0000 0.3659  5 Bi 2.82-2.98


Compound: Ba2Zn3BiAu12
Source: Alexandria via LeMat-Bulk
Functional: PBE-GGA
Structure: relaxed

Calculated values
Total magnetic moment (Bohr magnetons per cell): 0.00
Energy of formation (eV per atom): -0.2128
Calculated total energy (eV/atom): -3.04

a = 10.5436 Å, b = 10.5436 Å, c = 10.5436 Å
α = 39.79°, β = 39.79°, γ = 39.79°
Last column: nearest neighbours and their distance in Å.
Atoms (fractional coordinates):
Ba 0.1463 0.1463 0.1463  6 Au 3.45-3.49
Ba 0.8537 0.8537 0.8537  6 Au 3.45-3.49
Zn 0.0000 0.5000 0.5000  6 Au 2.61-2.73
Zn 0.5000 0.0000 0.5000  6 Au 2.61-2.73
Zn 0.5000 0.5000 0.0000  6 Au 2.61-2.73
Bi 0.5000 0.5000 0.5000  6 Au 2.87
Au 0.0910 0.0910 0.6916  2 Zn 2.61, 4 Au 2.80-2.87
Au 0.0910 0.6916 0.0910  2 Zn 2.61, 4 Au 2.80-2.87
Au 0.1155 0.5830 0.5830  1 Zn 2.73, 2 Au 2.80, 1 Bi 2.87
Au 0.3084 0.9090 0.9090  2 Zn 2.61, 4 Au 2.80-2.87
Au 0.4170 0.4170 0.8845  1 Zn 2.73, 2 Au 2.80, 1 Bi 2.87
Au 0.4170 0.8845 0.4170  1 Zn 2.73, 2 Au 2.80, 1 Bi 2.87
Au 0.5830 0.1155 0.5830  1 Zn 2.73, 2 Au 2.80, 1 Bi 2.87
Au 0.5830 0.5830 0.1155  1 Zn 2.73, 2 Au 2.80, 1 Bi 2.87
Au 0.6916 0.0910 0.0910  2 Zn 2.61, 4 Au 2.80-2.87
Au 0.8845 0.4170 0.4170  1 Zn 2.73, 2 Au 2.80, 1 Bi 2.87
Au 0.9090 0.3084 0.9090  2 Zn 2.61, 4 Au 2.80-2.87
Au 0.9090 0.9090 0.3084  2 Zn 2.61, 4 Au 2.80-2.87


Compound: Ba2ZnBiAu6
Source: Alexandria via LeMat-Bulk
Functional: PBE-GGA
Structure: relaxed

Calculated values
Total magnetic moment (Bohr magnetons per cell): 0.00
Energy of formation (eV per atom): -0.4500
Calculated total energy (eV/atom): -3.32

a = 5.6118 Å, b = 7.4684 Å, c = 7.5192 Å
α = 83.22°, β = 68.20°, γ = 67.94°
Last column: nearest neighbours and their distance in Å.
Atoms (fractional coordinates):
Ba 0.0368 0.2174 0.2074  7 Au 3.39-3.68, 2 Bi 3.73-3.74
Ba 0.9632 0.7826 0.7926  7 Au 3.39-3.68, 2 Bi 3.73-3.74
Zn 0.5000 0.0000 0.5000  6 Au 2.62-2.86
Bi 0.5000 0.5000 0.0000  6 Au 2.99-3.00
Au 0.0220 0.2292 0.7252  1 Zn 2.62, 3 Au 2.79-2.87
Au 0.3401 0.4027 0.4146  1 Zn 2.86, 4 Au 2.87-3.09, 1 Bi 2.99
Au 0.4758 0.7704 0.2753  1 Zn 2.62, 3 Au 2.79-2.87
Au 0.5242 0.2296 0.7247  1 Zn 2.62, 3 Au 2.79-2.87
Au 0.6599 0.5973 0.5854  1 Zn 2.86, 4 Au 2.87-3.09, 1 Bi 2.99
Au 0.9780 0.7708 0.2748  1 Zn 2.62, 3 Au 2.79-2.87


Compound: BaAuBr2
Source: Alexandria via LeMat-Bulk
Functional: PBE-GGA
Structure: relaxed

Calculated values
Total magnetic moment (Bohr magnetons per cell): 0.00
Energy above the lowest structure with this stoichiometry (meV/atom): 256
Formation energy from raw total energies (eV per atom): -0.917
Calculated total energy (eV/atom): -3.05

a = 4.1722 Å, b = 4.1722 Å, c = 7.1553 Å
α = 90.00°, β = 90.00°, γ = 90.00°
Last column: nearest neighbours and their distance in Å.
Atoms (fractional coordinates):
Ba 0.0000 0.0000 0.0000  8 Br 3.42, 2 Au 3.58
Au 0.0000 0.0000 0.5000  8 Br 3.48, 2 Ba 3.58
Br 0.5000 0.5000 0.2425  4 Ba 3.42, 2 Br 3.47-3.68, 4 Au 3.48
Br 0.5000 0.5000 0.7575  4 Ba 3.42, 2 Br 3.47-3.68, 4 Au 3.48